Here is crystalline SrMnSb2F at its relaxed geometry from Alexandria. Energies are from PBE+U.

Cell and atoms, written as POSCAR:
```
SrMnSb2F
1.0
5.3069 0.0000 0.0000
0.0000 5.3069 0.0000
0.0000 0.0000 4.6637
Sr Mn Sb F
1 1 2 1
direct
0.0000 0.0000 0.0000
0.5000 0.5000 0.0000
0.0000 0.5000 0.5000
0.5000 0.0000 0.5000
0.0000 0.0000 0.5000
```

Values from the calculation:
Uncorrected energy in eV per atom: -4.501
Total magnetization in Bohr magnetons per cell: 4.945